No. 1
VASP calculation (PBE) on crystalline Mn3BMo at its relaxed geometry.

abc: 4.564 4.564 4.564
angles: 90.00 90.00 90.00
Sites, in units of the cell vectors:
Mn  0.000  0.000  0.500
Mn  0.000  0.500  0.000
Mn  0.500  0.000  0.000
B  0.500  0.500  0.500
Mo  0.000  0.000  0.000

Output
Offset from the most stable computed form in eV per atom: 2.036


No. 2
VASP calculation (PBE) on crystalline CrPtBr4 at its relaxed geometry.

abc: 6.058 6.058 6.058
angles: 60.00 60.00 60.00
Sites, in units of the cell vectors:
Cr  0.000  0.000  0.000
Pt  0.750  0.750  0.750
Br  0.375  0.375  0.375
Br  0.375  0.375  0.874
Br  0.375  0.874  0.375
Br  0.874  0.375  0.375

Output
Formation energy without anion corrections in eV/atom: 1.2094


No. 3
VASP calculation (PBE) on crystalline EuAlPt2 at its relaxed geometry.

abc: 3.147 3.147 7.388
angles: 90.00 90.00 90.00
Sites, in units of the cell vectors:
Eu  0.000  0.000  0.000
Al  0.000  0.000  0.500
Pt  0.500  0.500  0.304
Pt  0.500  0.500  0.696

Output
E in eV/cell: -29.56


No. 4
VASP calculation (PBE) on crystalline Ac2Nd9Er at its relaxed geometry.

abc: 6.160 6.160 11.495
angles: 90.00 90.00 90.00
Sites, in units of the cell vectors:
Ac  0.000  0.000  0.170
Ac  0.000  0.000  0.830
Nd  0.000  0.500  0.000
Nd  0.000  0.500  0.343
Nd  0.000  0.500  0.657
Nd  0.500  0.000  0.000
Nd  0.500  0.000  0.343
Nd  0.500  0.000  0.657
Nd  0.500  0.500  0.162
Nd  0.500  0.500  0.500
Nd  0.500  0.500  0.838
Er  0.000  0.000  0.500

Output
E in eV/cell: -54.29


No. 5
VASP calculation (PBE) on crystalline MnTePd6 at its relaxed geometry.

abc: 5.136 5.143 5.145
angles: 93.76 93.75 93.95
Sites, in units of the cell vectors:
Mn  0.000  0.000  0.000
Te  0.500  0.500  0.500
Pd  0.057  0.753  0.442
Pd  0.247  0.558  0.942
Pd  0.443  0.057  0.753
Pd  0.557  0.943  0.247
Pd  0.753  0.442  0.058
Pd  0.943  0.247  0.558

Output
Formation energy without anion corrections in eV/atom: -0.1245
Offset from the most stable computed form in eV per atom: 0.093


No. 6
VASP calculation (PBE) on crystalline PmPrCdPd at its relaxed geometry.

abc: 5.291 5.291 5.291
angles: 60.00 60.00 60.00
Sites, in units of the cell vectors:
Pm  0.000  0.000  0.000
Pr  0.500  0.500  0.500
Cd  0.750  0.750  0.750
Pd  0.250  0.250  0.250

Output
E in eV/cell: -17.51


Number 1: density 4.7 g/cm³, D(E_F) 7.0 states/eV/cell. Number 2: density 6.0 g/cm³, D(E_F) 11.8 states/eV/cell. Number 3: density 12.9 g/cm³, D(E_F) 5.7 states/eV/cell. Number 4: density 7.3 g/cm³, D(E_F) 26.4 states/eV/cell. Number 5: density 10.1 g/cm³, D(E_F) 5.0 states/eV/cell. Number 6: density 8.0 g/cm³, D(E_F) 3.4 states/eV/cell.